DFT (meta-GGA SCAN) results for ZnSnN2 at its PBEsol-relaxed geometry.

Output
space-group type = No. 33
uncorrected formation energy = -0.059 eV per atom
total magnetization = 0.0000 μB/atom
raw total energy = -273.013 eV/cell

abc: 5.4705 5.8380 6.7155
angles: 90.00 90.00 90.00
Positions (direct):
Zn: 0.9993 0.5829 0.8750
N: 0.3793 0.5835 0.3733
Zn: 0.4993 0.9171 0.3750
N: 0.8726 0.4206 0.1233
Sn: 0.4996 0.4119 0.6249
Zn: 0.9993 0.0829 0.6250
N: 0.3726 0.5794 0.8767
N: 0.8793 0.4165 0.6267
Sn: 0.4996 0.9119 0.8751
N: 0.3793 0.0835 0.1267
Zn: 0.4993 0.4171 0.1250
Sn: 0.9996 0.0881 0.1249
Sn: 0.9996 0.5881 0.3751
N: 0.3726 0.0794 0.6233
N: 0.8726 0.9206 0.3767
N: 0.8793 0.9165 0.8733


DFT (meta-GGA SCAN) results for ZnSnN2 at its PBEsol-relaxed geometry.

Output
DOS(E_F) = 0.0 states/eV/cell
space-group type = No. 122
uncorrected formation energy = -0.052 eV per atom
total magnetization = 0.0000 μB/atom
raw total energy = -136.453 eV/cell

abc: 4.7367 4.7367 5.8401
angles: 113.92 113.92 90.00
Positions (direct):
Sn: 0.2500 0.7500 0.5000
N: 0.8697 0.3750 0.2500
N: 0.6250 0.6197 0.7500
Zn: 0.5000 0.5000 0.0000
Sn: 0.0000 0.0000 0.0000
Zn: 0.7500 0.2500 0.5000
N: 0.1250 0.1303 0.7500
N: 0.3803 0.8750 0.2500


DFT (meta-GGA SCAN) results for ZrSn3N at its PBEsol-relaxed geometry.

Output
relative energy among the computed polymorphs = 0.787 eV per atom
DOS(E_F) = 1.9 states/eV/cell
space-group type = No. 221
uncorrected formation energy = 1.190 eV per atom
total magnetization = 0.6047 μB/atom
raw total energy = -141.805 eV/cell

abc: 5.4866 5.4866 5.4866
angles: 90.00 90.00 90.00
Positions (direct):
Sn: 0.5000 0.0000 0.0000
N: 0.5000 0.5000 0.5000
Sn: 0.0000 0.0000 0.5000
Zr: 0.0000 0.0000 0.0000
Sn: 0.0000 0.5000 0.0000


DFT (meta-GGA SCAN) results for ZrSnN3 at its PBEsol-relaxed geometry.

Output
DOS(E_F) = 3.2 states/eV/cell
space-group type = No. 221
uncorrected formation energy = 0.628 eV per atom
total magnetization = 0.0007 μB/atom
raw total energy = -91.352 eV/cell

abc: 3.9980 3.9980 3.9980
angles: 90.00 90.00 90.00
Positions (direct):
Zr: 0.5000 0.5000 0.5000
N: 0.5000 0.0000 0.0000
Sn: 0.0000 0.0000 0.0000
N: 0.0000 0.5000 0.0000
N: 0.0000 0.0000 0.5000


DFT (meta-GGA SCAN) results for ZrSn3N at its PBEsol-relaxed geometry.

Output
relative energy among the computed polymorphs = 0.000 eV per atom
DOS(E_F) = 1.8 states/eV/cell
space-group type = No. 221
uncorrected formation energy = 0.403 eV per atom
total magnetization = 0.0000 μB/atom
raw total energy = -145.740 eV/cell

abc: 4.6226 4.6226 4.6226
angles: 90.00 90.00 90.00
Positions (direct):
Sn: 0.5000 0.0000 0.0000
N: 0.0000 0.0000 0.0000
Sn: 0.0000 0.0000 0.5000
Zr: 0.5000 0.5000 0.5000
Sn: 0.0000 0.5000 0.0000


DFT (meta-GGA SCAN) results for SrTa3N at its PBEsol-relaxed geometry.

Output
DOS(E_F) = 5.4 states/eV/cell
space-group type = No. 221
uncorrected formation energy = 0.364 eV per atom
total magnetization = 0.0000 μB/atom
raw total energy = -229.498 eV/cell

abc: 4.4053 4.4053 4.4053
angles: 90.00 90.00 90.00
Positions (direct):
N: 0.0000 0.0000 0.0000
Ta: 0.0000 0.0000 0.5000
Sr: 0.5000 0.5000 0.5000
Ta: 0.0000 0.5000 0.0000
Ta: 0.5000 0.0000 0.0000


DFT (meta-GGA SCAN) results for SrTaZnN2 at its PBEsol-relaxed geometry.

Output
DOS(E_F) = 3.6 states/eV/cell
space-group type = No. 123
uncorrected formation energy = 2.156 eV per atom
total magnetization = 0.0001 μB/atom
raw total energy = -110.175 eV/cell

abc: 4.0761 4.0761 4.7205
angles: 90.00 90.00 90.00
Positions (direct):
Sr: 0.0000 0.0000 0.5000
N: 0.5000 0.0000 0.0000
Ta: 0.5000 0.5000 0.5000
N: 0.0000 0.5000 0.0000
Zn: 0.0000 0.0000 0.0000


DFT (meta-GGA SCAN) results for SrTcTeN2 at its PBEsol-relaxed geometry.

Output
DOS(E_F) = 3.4 states/eV/cell
space-group type = No. 123
uncorrected formation energy = 0.114 eV per atom
total magnetization = 0.0002 μB/atom
raw total energy = -112.600 eV/cell

abc: 4.0607 4.0607 5.4719
angles: 90.00 90.00 90.00
Positions (direct):
N: 0.0000 0.5000 0.0000
Tc: 0.0000 0.0000 0.0000
N: 0.5000 0.0000 0.0000
Te: 0.0000 0.0000 0.5000
Sr: 0.5000 0.5000 0.5000